Below is Ho2TlRuO8 after structural relaxation, with properties calculated at the GGA-PBE level.

extended XYZ file:
```
12
Lattice="3.392 -3.552 0.000 3.392 3.552 0.000 0.000 0.000 7.019" Properties=species:S:1:pos:R:3 pbc="T T T"
Ho 0.000 0.000 1.720
Ho 0.000 0.000 5.299
Tl 3.392 0.000 3.510
Ru 3.392 0.000 0.000
O 1.338 0.000 3.510
O 1.475 0.000 0.000
O 3.392 1.318 1.383
O 3.392 1.318 5.636
O 3.392 -1.318 1.383
O 3.392 -1.318 5.636
O 5.309 0.000 0.000
O 5.446 0.000 3.510
```

Properties
Symmetry   Cmmm
Energy relative to the elements, uncorrected   -1.822 eV/atom
Mass density   7.493 g cm⁻³
DOS(E_F)   4.70 states/eV/cell
Magnetization   1.041 μB per formula unit

---

Below is YHoRuO6 after structural relaxation, with properties calculated at the GGA-PBE level.

extended XYZ file:
```
18
Lattice="5.466 0.000 0.000 -2.733 4.733 0.000 0.000 0.000 9.512" Properties=species:S:1:pos:R:3 pbc="T T T"
Y 0.000 0.000 0.000
Y 0.000 0.000 4.756
Ho 0.000 3.156 2.378
Ho 2.733 1.578 7.134
Ru 0.000 3.156 7.134
Ru 2.733 1.578 2.378
O -0.784 1.749 6.037
O -1.610 3.180 8.231
O 0.784 1.749 8.231
O -0.826 4.538 6.037
O 1.907 0.195 1.281
O 1.123 1.554 3.475
O 1.610 3.180 6.037
O 0.826 4.538 8.231
O 3.559 0.195 3.475
O 1.948 2.984 1.281
O 4.343 1.554 1.281
O 3.517 2.984 3.475
```

Properties
Symmetry   P-31c
Energy relative to the elements, uncorrected   -2.272 eV/atom
Mass density   6.085 g cm⁻³
DOS(E_F)   8.43 states/eV/cell
Magnetization   2.018 μB per formula unit

---

Below is HoSO after structural relaxation, with properties calculated at the GGA-PBE level.

extended XYZ file:
```
9
Lattice="7.037 0.000 0.000 -3.519 6.094 0.000 0.000 0.000 3.643" Properties=species:S:1:pos:R:3 pbc="T T T"
Ho 0.000 0.000 0.000
Ho 0.000 4.063 1.822
Ho 3.519 2.031 1.822
S -2.579 4.467 1.822
S 0.939 1.627 1.822
S 5.158 0.000 1.822
O -1.530 2.650 0.000
O 3.060 0.000 0.000
O 1.989 3.444 0.000
```

Properties
Symmetry   P-62m
Energy relative to the elements, uncorrected   -1.530 eV/atom
Mass density   6.791 g cm⁻³
DOS(E_F)   6.40 states/eV/cell
Magnetization   0.953 μB per formula unit

---

Below is Ho2SO2 after structural relaxation, with properties calculated at the GGA-PBE level.

extended XYZ file:
```
5
Lattice="3.787 0.000 0.000 -1.893 3.279 0.000 0.000 0.000 6.588" Properties=species:S:1:pos:R:3 pbc="T T T"
Ho 0.000 2.186 1.863
Ho 1.893 1.093 4.726
S 0.000 0.000 0.000
O 0.000 2.186 4.147
O 1.893 1.093 2.441
```

Properties
Symmetry   P-3m1
Energy relative to the elements, uncorrected   -3.223 eV/atom
Mass density   7.995 g cm⁻³
DOS(E_F)   0.00 states/eV/cell
Magnetization   0.000 μB per formula unit

---

Below is Ho2SO2 after structural relaxation, with properties calculated at the GGA-PBE level.

extended XYZ file:
```
10
Lattice="6.037 -2.029 0.000 6.037 2.029 0.000 -3.917 0.000 7.964" Properties=species:S:1:pos:R:3 pbc="T T T"
Ho -1.013 0.000 2.274
Ho 0.419 0.000 7.407
Ho 7.739 0.000 0.557
Ho 9.171 0.000 5.691
S -0.422 0.000 4.879
S 8.580 0.000 3.085
O -1.902 0.000 7.755
O 2.538 0.000 6.516
O 5.620 0.000 1.448
O 10.059 0.000 0.210
```

Properties
Symmetry   C2/m
Energy relative to the elements, uncorrected   -3.011 eV/atom
Mass density   6.706 g cm⁻³
DOS(E_F)   0.00 states/eV/cell
Magnetization   0.000 μB per formula unit

---

Below is Ho2SO2 after structural relaxation, with properties calculated at the GGA-PBE level.

extended XYZ file:
```
10
Lattice="3.776 0.000 0.000 -1.888 3.270 0.000 0.000 0.000 13.313" Properties=species:S:1:pos:R:3 pbc="T T T"
Ho 0.000 2.180 1.435
Ho 0.000 2.180 5.221
Ho 1.888 1.090 8.092
Ho 1.888 1.090 11.878
S 0.000 0.000 3.328
S 0.000 0.000 9.985
O 0.000 2.180 7.518
O 0.000 2.180 12.451
O 1.888 1.090 0.862
O 1.888 1.090 5.795
```

Properties
Symmetry   P6_3/mmc
Energy relative to the elements, uncorrected   -3.214 eV/atom
Mass density   7.957 g cm⁻³
DOS(E_F)   0.00 states/eV/cell
Magnetization   0.000 μB per formula unit

---

Below is HoSO after structural relaxation, with properties calculated at the GGA-PBE level.

extended XYZ file:
```
6
Lattice="1.902 1.098 8.494 -1.902 1.098 8.494 0.000 -2.196 8.494" Properties=species:S:1:pos:R:3 pbc="T T T"
Ho 0.000 0.000 5.678
Ho 0.000 0.000 19.803
S 0.000 0.000 9.480
S 0.000 0.000 16.001
O 0.000 0.000 3.400
O 0.000 0.000 22.081
```

Properties
Symmetry   R-3m
Energy relative to the elements, uncorrected   -2.211 eV/atom
Mass density   6.647 g cm⁻³
DOS(E_F)   3.20 states/eV/cell
Magnetization   1.013 μB per formula unit

---

Below is HoSO after structural relaxation, with properties calculated at the GGA-PBE level.

extended XYZ file:
```
12
Lattice="6.219 -2.826 0.000 6.219 2.826 0.000 0.000 0.000 5.643" Properties=species:S:1:pos:R:3 pbc="T T T"
Ho 2.043 0.000 0.000
Ho 4.176 0.000 2.822
Ho 8.262 0.000 2.822
Ho 10.396 0.000 0.000
S 6.219 2.084 3.566
S 6.219 0.742 0.744
S 6.219 -0.742 4.899
S 6.219 -2.084 2.078
O 3.110 1.373 4.232
O 3.110 -1.373 1.411
O 9.329 1.373 4.232
O 9.329 -1.373 1.411
```

Properties
Symmetry   Cmce
Energy relative to the elements, uncorrected   -2.636 eV/atom
Mass density   7.132 g cm⁻³
Magnetization   0.000 μB per formula unit

---

Below is Ho2SO after structural relaxation, with properties calculated at the GGA-PBE level.

extended XYZ file:
```
4
Lattice="1.767 1.020 6.499 -1.767 1.020 6.499 0.000 -2.041 6.499" Properties=species:S:1:pos:R:3 pbc="T T T"
Ho 0.000 0.000 0.000
Ho 0.000 0.000 3.137
S 0.000 0.000 11.329
O 0.000 0.000 7.949
```

Properties
Symmetry   R3m
Energy relative to the elements, uncorrected   -2.129 eV/atom
Mass density   8.925 g cm⁻³
DOS(E_F)   1.42 states/eV/cell
Magnetization   0.000 μB per formula unit

---

Below is Ho3SO3 after structural relaxation, with properties calculated at the GGA-PBE level.

extended XYZ file:
```
14
Lattice="3.265 1.885 6.530 -3.265 1.885 6.530 0.000 -3.770 6.530" Properties=species:S:1:pos:R:3 pbc="T T T"
Ho -1.088 -1.881 7.964
Ho -2.173 0.002 11.625
Ho -1.085 1.883 7.964
Ho 1.085 -1.883 11.625
Ho 2.173 -0.002 7.964
Ho 1.088 1.881 11.625
S 0.000 0.000 3.267
S 0.000 0.000 16.323
O -2.163 0.005 7.392
O -1.086 -1.871 12.197
O 1.077 -1.875 7.392
O -1.077 1.875 12.197
O 1.086 1.871 7.392
O 2.163 -0.005 12.197
```

Properties
Symmetry   R-3
Energy relative to the elements, uncorrected   -3.131 eV/atom
Mass density   7.918 g cm⁻³
Magnetization   0.000 μB per formula unit

---

Below is Ho4S3O4 after structural relaxation, with properties calculated at the GGA-PBE level.

extended XYZ file:
```
11
Lattice="-1.923 3.587 6.212 1.923 -3.587 6.212 1.923 3.587 -6.212" Properties=species:S:1:pos:R:3 pbc="T T T"
Ho 0.000 0.000 2.766
Ho 1.923 1.810 0.000
Ho 0.000 1.778 6.212
Ho 0.000 0.000 9.658
S 0.000 0.000 0.000
S 1.923 0.000 5.124
S 0.000 3.587 1.088
O 1.923 1.352 -2.172
O 1.923 1.352 2.172
O 0.000 2.235 4.040
O 0.000 2.235 8.384
```

Properties
Symmetry   Immm
Energy relative to the elements, uncorrected   -2.477 eV/atom
Mass density   7.944 g cm⁻³
DOS(E_F)   4.68 states/eV/cell
Magnetization   0.000 μB per formula unit

---

Below is Ho2S2O after structural relaxation, with properties calculated at the GGA-PBE level.

extended XYZ file:
```
10
Lattice="1.894 -7.310 0.000 1.894 7.310 0.000 0.000 0.000 7.013" Properties=species:S:1:pos:R:3 pbc="T T T"
Ho 1.894 6.573 3.506
Ho 1.894 2.422 2.750
Ho 1.894 -2.422 6.256
Ho 1.894 -6.573 0.000
S 1.894 2.964 0.121
S 1.894 0.737 4.843
S 1.894 -0.737 1.337
S 1.894 -2.964 3.627
O 1.894 5.944 5.805
O 1.894 -5.944 2.299
```

Properties
Symmetry   Cmc2_1
Energy relative to the elements, uncorrected   -2.602 eV/atom
Mass density   7.012 g cm⁻³
DOS(E_F)   0.00 states/eV/cell
Magnetization   0.000 μB per formula unit

---

- What is the formula in the fourth record?
  Ho2SO2

---

- Number 2 is which compound?
  YHoRuO6